{
  "formula": "HfUS6",
  "functional": "GGA-PBE",
  "state": "optimized geometry",
  "dos_ef_per_ev_cell": 5.08,
  "formation_energy_uncorrected_mev_per_atom": -779.7,
  "e_tot_ev_per_cell": -52.244,
  "lattice": [[7.097, 0.000, 0.000], [3.549, 6.146, 0.000], [3.549, 2.049, 5.795]],
  "species": ["S", "S", "U", "S", "S", "Hf", "S", "S"],
  "fractional_positions": [[0.251, 0.749, 0.251], [0.251, 0.251, 0.749], [0.000, 0.000, 0.000], [0.749, 0.749, 0.251], [0.749, 0.251, 0.251], [0.500, 0.500, 0.500], [0.749, 0.251, 0.749], [0.251, 0.749, 0.749]]
}